No. 1
La2TlCuS, relaxed, DFT PBE-GGA; space group = P4/mmm, No. 123; uncorrected formation energy = 12.103 kcal/mol of atoms; DOS(E_F) = 1.1520 states/eV/atom; electronic total energy = -3.564 eV/atom
1.0
-4.308 -2.159 -3.626
-2.061 -2.608 4.001
-3.478 4.750 1.304
Cu Tl La S
1 1 2 1
direct
0.500 0.500 0.500
0.000 0.000 0.000
0.500 0.000 0.000
0.000 0.000 0.500
0.000 0.500 0.000

---

No. 2
CaSiW, relaxed, DFT PBE-GGA; space group = I4mm, No. 107; uncorrected formation energy = 3.855 kcal/mol of atoms; DOS(E_F) = 0.4320 states/eV/atom; electronic total energy = -6.625 eV/atom
1.0
5.884 -0.002 -0.002
3.927 4.381 0.002
-4.903 -2.195 2.400
W Ca Si
1 1 1
direct
0.717 0.717 0.000
0.003 0.003 0.000
0.280 0.280 0.000

---

No. 3
ZrBiPb, relaxed, DFT PBE-GGA; space group = P-6m2, No. 187; formation enthalpy at 0 K = 0.120 eV per atom; polymorph energy (0 for the lowest one) = 298 meV/atom; DOS(E_F) = 0.8182 states/eV/atom; electronic total energy = -5.259 eV/atom
1.0
-2.148 -0.250 2.422
2.604 -4.320 1.863
1.365 4.910 1.718
Bi Zr Pb
1 1 1
direct
0.667 0.667 0.333
0.167 0.333 0.667
0.166 0.000 0.000

---

No. 4
Pu2CoPd, relaxed, DFT PBE-GGA; space group = P4/mmm, No. 123; formation enthalpy at 0 K = -0.159 eV per atom; DOS(E_F) = 3.9131 states/eV/atom; electronic total energy = -10.400 eV/atom
1.0
3.341 0.000 0.000
0.000 3.341 0.000
0.000 0.000 7.102
Pu Pd Co
2 1 1
direct
0.000 0.000 0.230
0.000 0.000 0.770
0.500 0.500 0.500
0.500 0.500 0.000

---

No. 5
SrLiMg, relaxed, DFT PBE-GGA; space group = F-43m, No. 216; formation enthalpy at 0 K = 0.178 eV per atom; polymorph energy (0 for the lowest one) = 227 meV/atom; DOS(E_F) = 1.0323 states/eV/atom; electronic total energy = -1.552 eV/atom
1.0
-4.299 3.017 0.895
-3.993 0.061 -3.527
-4.657 -2.289 1.208
Li Sr Mg
1 1 1
direct
0.750 0.750 0.750
0.500 0.500 0.500
0.000 0.000 0.000

---

No. 6
Ca3SmPu2N6, relaxed, DFT PBE-GGA; space group = C2/m, No. 12; uncorrected formation energy = -27.770 kcal/mol of atoms; DOS(E_F) = 1.0756 states/eV/atom; electronic total energy = -8.649 eV/atom
1.0
3.523 0.000 0.000
0.000 7.015 0.263
-1.762 -2.009 7.322
N Ca Pu Sm
6 3 2 1
direct
0.016 0.254 0.031
0.678 0.565 0.356
0.334 0.888 0.668
0.666 0.112 0.332
0.322 0.435 0.644
0.984 0.746 0.969
0.833 0.168 0.665
0.500 0.500 0.000
0.167 0.832 0.335
0.166 0.332 0.333
0.834 0.668 0.667
0.500 0.000 0.000